Record 1
Zr3Sn2H after structural relaxation, computed with PBE.

Calculated values
symmetry = P-1 (2)
crystal system = triclinic
density of states at the Fermi level = 0.7185 states/eV per atom
total energy = -6.55 eV per atom

a b c (Å): 5.7797 6.4221 7.5198
angles (deg): 90.39 116.80 105.84
Closest atoms and distances in Å follow each position.
Fractional positions:
Zr  0.5172  0.2548  0.0046  1 H 2.11
Zr  0.4828  0.7452  0.9954  1 H 2.11
Zr  0.1283  0.1586  0.2243  2 H 2.07-2.08
Zr  0.8814  0.3514  0.7791  1 H 2.08
Zr  0.1186  0.6486  0.2209  1 H 2.08
Zr  0.8717  0.8414  0.7757  2 H 2.07-2.08
Sn  0.6859  0.5487  0.3830  7 Zr 3.01-3.19, 3 Sn 3.18-3.29
Sn  0.6887  0.0448  0.3833  7 Zr 3.03-3.25, 3 Sn 3.18-3.31
Sn  0.3113  0.9552  0.6167  7 Zr 3.03-3.25, 3 Sn 3.18-3.31
Sn  0.3141  0.4513  0.6170  7 Zr 3.01-3.19, 3 Sn 3.18-3.29
H  0.8943  0.8483  0.0590  4 Zr 2.07-2.11
H  0.1057  0.1517  0.9410  4 Zr 2.07-2.11



Record 2
Zr2SnH after structural relaxation, computed with PBE.

Calculated values
symmetry = C2/m (12)
crystal system = monoclinic
density of states at the Fermi level = 1.0247 states/eV per atom
total energy = -6.39 eV per atom
polymorph energy (0 for the lowest one) = 0 kJ/mol of formula units

a b c (Å): 3.1331 5.2418 5.2418
angles (deg): 63.28 72.46 72.46
Closest atoms and distances in Å follow each position.
Fractional positions:
Zr  0.9338  0.0653  0.0655  2 H 2.19-2.20
Zr  0.5662  0.4345  0.4347  2 H 2.19-2.20
Sn  0.7500  0.7499  0.7501  8 Zr 3.06-3.15, 2 Sn 3.13, 4 H 3.16-3.17
H  0.2500  0.2503  0.2497  4 Zr 2.19-2.20



Record 3
Zr4Sn2H after structural relaxation, computed with PBE.

Calculated values
symmetry = P2_1/m (11)
crystal system = monoclinic
density of states at the Fermi level = 0.7800 states/eV per atom
total energy = -7.00 eV per atom
polymorph energy (0 for the lowest one) = 11 kJ/mol of formula units

a b c (Å): 5.5599 6.0181 9.1719
angles (deg): 90.00 114.52 90.00
Closest atoms and distances in Å follow each position.
Fractional positions:
Zr  0.5634  0.4971  0.2832  1 H 2.08
Zr  0.1073  0.7500  0.9379  1 H 2.13
Zr  0.8927  0.2500  0.0621  1 H 2.13
Zr  0.5634  0.0029  0.2832  1 H 2.08
Zr  0.8774  0.2500  0.6449  1 H 2.04
Zr  0.4366  0.9971  0.7168  1 H 2.08
Zr  0.4366  0.5029  0.7168  1 H 2.08
Zr  0.1226  0.7500  0.3551  1 H 2.04
Sn  0.6845  0.7500  0.0346  7 Zr 2.84-3.05, 2 H 3.05-3.11
Sn  0.3155  0.2500  0.9654  7 Zr 2.84-3.05, 2 H 3.05-3.11
Sn  0.1638  0.2500  0.4084  6 Zr 2.90-3.18
Sn  0.8362  0.7500  0.5916  6 Zr 2.90-3.18
H  0.2866  0.7500  0.1932  4 Zr 2.04-2.13
H  0.7134  0.2500  0.8068  4 Zr 2.04-2.13



Record 4
ZrSn3H after structural relaxation, computed with PBE.

Calculated values
symmetry = Pm-3m (221)
crystal system = cubic
density of states at the Fermi level = 0.6283 states/eV per atom
total energy = -4.66 eV per atom
polymorph energy (0 for the lowest one) = 0 kJ/mol of formula units

a b c (Å): 4.6544 4.6544 4.6544
angles (deg): 90.00 90.00 90.00
Closest atoms and distances in Å follow each position.
Fractional positions:
H  0.0000  0.0000  0.0000  6 Sn 2.33
Sn  0.0000  0.5000  0.0000  2 H 2.33
Sn  0.0000  0.0000  0.5000  2 H 2.33
Sn  0.5000  0.0000  0.0000  2 H 2.33
Zr  0.5000  0.5000  0.5000  12 Sn 3.29



Record 5
Zr4Sn2H after structural relaxation, computed with PBE.

Calculated values
symmetry = Cmmm (65)
crystal system = orthorhombic
density of states at the Fermi level = 0.6591 states/eV per atom
total energy = -7.00 eV per atom
polymorph energy (0 for the lowest one) = 10 kJ/mol of formula units

a b c (Å): 4.1840 4.5228 7.4991
angles (deg): 107.55 90.00 90.00
Closest atoms and distances in Å follow each position.
Fractional positions:
Zr  0.0000  0.5000  0.0000  2 H 2.26
Zr  0.5000  0.0000  0.0000  2 H 2.09
Zr  0.0000  0.1727  0.3454  1 H 2.47
Zr  0.0000  0.8273  0.6546  1 H 2.47
Sn  0.5000  0.3448  0.6897  10 Zr 3.05-3.23
Sn  0.5000  0.6552  0.3103  10 Zr 3.05-3.23
H  0.0000  0.0000  0.0000  4 Zr 2.09-2.26



Record 6
Zr3SnH after structural relaxation, computed with PBE.

Calculated values
symmetry = C2/m (12)
crystal system = monoclinic
density of states at the Fermi level = 0.7350 states/eV per atom
total energy = -6.86 eV per atom

a b c (Å): 3.2109 7.3979 8.3805
angles (deg): 90.55 90.00 102.53
Closest atoms and distances in Å follow each position.
Fractional positions:
Zr  0.0342  0.0684  0.1749  1 H 2.00
Zr  0.9658  0.9316  0.8251  1 H 2.00
Zr  0.6575  0.3150  0.9183  2 H 2.08
Zr  0.3425  0.6850  0.0817  2 H 2.08
Zr  0.8881  0.7762  0.4533  1 H 2.05
Zr  0.1119  0.2238  0.5467  1 H 2.05
Sn  0.2975  0.5951  0.7188  1 H 2.88, 8 Zr 3.03-3.10, 2 Sn 3.21
Sn  0.7025  0.4049  0.2812  1 H 2.88, 8 Zr 3.03-3.10, 2 Sn 3.21
H  0.1028  0.2056  0.7907  4 Zr 2.00-2.08
H  0.8972  0.7944  0.2093  4 Zr 2.00-2.08



Please write out number 5 again, unchanged.
Zr4Sn2H after structural relaxation, computed with PBE.

Calculated values
symmetry = Cmmm (65)
crystal system = orthorhombic
density of states at the Fermi level = 0.6591 states/eV per atom
total energy = -7.00 eV per atom
polymorph energy (0 for the lowest one) = 10 kJ/mol of formula units

a b c (Å): 4.1840 4.5228 7.4991
angles (deg): 107.55 90.00 90.00
Closest atoms and distances in Å follow each position.
Fractional positions:
Zr  0.0000  0.5000  0.0000  2 H 2.26
Zr  0.5000  0.0000  0.0000  2 H 2.09
Zr  0.0000  0.1727  0.3454  1 H 2.47
Zr  0.0000  0.8273  0.6546  1 H 2.47
Sn  0.5000  0.3448  0.6897  10 Zr 3.05-3.23
Sn  0.5000  0.6552  0.3103  10 Zr 3.05-3.23
H  0.0000  0.0000  0.0000  4 Zr 2.09-2.26



Question: Which value of density of states at the Fermi level does entry 3 give?
Answer: 0.7800 states/eV per atom